[1]
This record from the Alexandria database describes LiTaGa3 after structural relaxation. The functional is PBE.

## Properties
polymorph energy (0 for the lowest one) = 0.269 eV per atom
energy of formation from the pure elements = 3.2 eV/f.u.
magnetic moment = 0.0 μB/cell
total energy = -19.6 eV per formula unit
calculated volume = 83.1 Å³/cell

Cell: 4.3635 4.3635 4.3635 Å, 90.00 90.00 90.00°
Last column: nearest neighbours and their distance in Å.
Space group Pm-3m (No. 221)
Symmetry-distinct sites (fractional):
Li1 0.0000 0.0000 0.0000 x1  6 Ga 2.18
Ta1 0.5000 0.5000 0.5000 x1  12 Ga 3.09
Ga1 0.0000 0.0000 0.5000 x3  2 Li 2.18

=====

[2]
This record from the Alexandria database describes LiTaGa3 after structural relaxation. The functional is PBE.

## Properties
polymorph energy (0 for the lowest one) = 0.000 eV per atom
energy of formation from the pure elements = 1.9 eV/f.u.
magnetic moment = 0.0 μB/cell
total energy = -21.0 eV per formula unit
calculated volume = 130.0 Å³/cell

Cell: 5.0663 5.0663 5.0663 Å, 90.00 90.00 90.00°
Last column: nearest neighbours and their distance in Å.
Space group Pm-3m (No. 221)
Symmetry-distinct sites (fractional):
Li1 0.0000 0.0000 0.0000 x1  12 Ga 3.58
Ta1 0.5000 0.5000 0.5000 x1  6 Ga 2.53
Ga1 0.0000 0.5000 0.5000 x3  2 Ta 2.53

=====

[3]
This record from the Alexandria database describes Li2TaGa2 after structural relaxation. The functional is PBE.

## Properties
polymorph energy (0 for the lowest one) = 0.000 eV per atom
energy of formation from the pure elements = -0.4 eV/f.u.
magnetic moment = 0.0 μB/cell
total energy = -22.1 eV per formula unit
calculated volume = 147.2 Å³/cell

Cell: 7.3434 7.3434 2.7299 Å, 90.00 90.00 90.00°
Last column: nearest neighbours and their distance in Å.
Space group P4/mbm (No. 127)
Symmetry-distinct sites (fractional):
Li1 0.1153 0.3847 0.0000 x4  1 Li 2.40, 6 Ga 2.50-2.63
Ta1 0.0000 0.0000 0.0000 x2  2 Ta 2.73, 4 Li 2.95, 8 Ga 3.02
Ga1 0.1827 0.6827 0.5000 x4  6 Li 2.50-2.63, 2 Ga 2.73

=====

[4]
This record from the Alexandria database describes LiTa2VGa after structural relaxation. The functional is PBE.

## Properties
energy of formation from the pure elements = 5.6 eV/f.u.
magnetic moment = 0.0 μB/cell
total energy = -32.2 eV per formula unit
calculated volume = 96.2 Å³/cell

Cell: 4.6105 4.6105 4.5243 Å, 90.00 90.00 90.00°
Last column: nearest neighbours and their distance in Å.
Space group P4/mmm (No. 123)
Symmetry-distinct sites (fractional):
Li1 0.0000 0.0000 0.0000 x1  2 V 2.26
Ta1 0.0000 0.5000 0.5000 x2  2 V 2.31
V1 0.0000 0.0000 0.5000 x1  2 Li 2.26, 4 Ta 2.31
Ga1 0.5000 0.5000 0.0000 x1  8 Ta 3.23, 4 Li 3.26

=====

[5]
This record from the Alexandria database describes LiTaGa2W after structural relaxation. The functional is PBE.

## Properties
energy of formation from the pure elements = 4.1 eV/f.u.
magnetic moment = 0.0 μB/cell
total energy = -28.7 eV per formula unit
calculated volume = 77.4 Å³/cell

Cell: 4.1657 4.1657 4.4614 Å, 90.00 90.00 90.00°
Last column: nearest neighbours and their distance in Å.
Space group P4/mmm (No. 123)
Symmetry-distinct sites (fractional):
Li1 0.0000 0.0000 0.0000 x1  4 Ga 2.08, 2 W 2.23
Ta1 0.5000 0.5000 0.5000 x1  4 W 2.95, 8 Ga 3.05
Ga1 0.0000 0.5000 0.0000 x2  2 Li 2.08
W1 0.0000 0.0000 0.5000 x1  2 Li 2.23

=====

[6]
This record from the Alexandria database describes Li2YTaGa after structural relaxation. The functional is PBE.

## Properties
energy of formation from the pure elements = 3.9 eV/f.u.
magnetic moment = 1.7 μB/cell
total energy = -21.2 eV per formula unit
calculated volume = 114.1 Å³/cell

Cell: 4.5607 4.5607 5.4877 Å, 90.00 90.00 90.00°
Last column: nearest neighbours and their distance in Å.
Space group P4/mmm (No. 123)
Symmetry-distinct sites (fractional):
Li1 0.0000 0.5000 0.0000 x2  2 Ga 2.28
Y1 0.0000 0.0000 0.5000 x1  2 Ga 2.74
Ta1 0.5000 0.5000 0.5000 x1  4 Y 3.22, 8 Li 3.57
Ga1 0.0000 0.0000 0.0000 x1  4 Li 2.28

=====

[7]
This record from the Alexandria database describes LiZrTa2Ga after structural relaxation. The functional is PBE.

## Properties
energy of formation from the pure elements = 3.3 eV/f.u.
magnetic moment = 0.0 μB/cell
total energy = -33.9 eV per formula unit
calculated volume = 87.6 Å³/cell

Cell: 4.5325 4.5325 4.2624 Å, 90.00 90.00 90.00°
Last column: nearest neighbours and their distance in Å.
Space group P4/mmm (No. 123)
Symmetry-distinct sites (fractional):
Li1 0.0000 0.0000 0.0000 x1  2 Ga 2.13, 4 Ta 2.27
Zr1 0.5000 0.5000 0.5000 x1  8 Ta 3.11, 4 Ga 3.20
Ta1 0.0000 0.5000 0.0000 x2  2 Li 2.27
Ga1 0.0000 0.0000 0.5000 x1  2 Li 2.13

=====

[8]
This record from the Alexandria database describes LiTb3Ga12 after structural relaxation. The functional is PBE.

## Properties
energy of formation from the pure elements = -7.1 eV/f.u.
magnetic moment = 0.0 μB/cell
total energy = -59.2 eV per formula unit
calculated volume = 303.8 Å³/cell

Cell: 4.2644 4.2644 16.7081 Å, 90.00 90.00 90.00°
Last column: nearest neighbours and their distance in Å.
Space group P4/mmm (No. 123)
Symmetry-distinct sites (fractional):
Li1 0.0000 0.0000 0.0000 x1  12 Ga 2.81-3.02
Tb1 0.0000 0.0000 0.2399 x2  12 Ga 3.02-3.05
Tb2 0.0000 0.0000 0.5000 x1  12 Ga 3.02-3.04
Ga1 0.0000 0.5000 0.1093 x4  2 Li 2.81, 6 Ga 2.81-3.02, 2 Tb 3.05
Ga2 0.0000 0.5000 0.3703 x4  8 Ga 2.93-3.04, 4 Tb 3.04-3.05
Ga3 0.5000 0.5000 0.0000 x1  8 Ga 2.81, 4 Li 3.02
Ga4 0.5000 0.5000 0.2502 x2  8 Ga 2.93-3.18, 4 Tb 3.02
Ga5 0.5000 0.5000 0.5000 x1  4 Tb 3.02, 8 Ga 3.04

=====

[9]
This record from the Alexandria database describes Li2TbGa6 after structural relaxation. The functional is PBE.

## Properties
polymorph energy (0 for the lowest one) = 0.000 eV per atom
energy of formation from the pure elements = -3.0 eV/f.u.
magnetic moment = 0.0 μB/cell
total energy = -29.6 eV per formula unit
calculated volume = 172.5 Å³/cell

Cell: 7.6259 7.6259 3.4250 Å, 90.00 90.00 120.00°
Last column: nearest neighbours and their distance in Å.
Space group P6/mmm (No. 191)
Symmetry-distinct sites (fractional):
Li1 0.3333 0.6667 0.0000 x2  12 Ga 3.05
Tb1 0.0000 0.0000 0.0000 x1  12 Ga 3.09, 2 Tb 3.43
Ga1 0.0000 0.3379 0.5000 x6  3 Ga 2.47-2.58

=====

[10]
This record from the Alexandria database describes Li3Tb2Ga4 after structural relaxation. The functional is PBE.

## Properties
energy of formation from the pure elements = -3.5 eV/f.u.
magnetic moment = 0.0 μB/cell
total energy = -30.7 eV per formula unit
calculated volume = 697.5 Å³/cell

Cell: 5.7497 16.0744 7.5466 Å, 90.00 90.00 90.00°
Last column: nearest neighbours and their distance in Å.
Space group Cmce (No. 64)
Symmetry-distinct sites (fractional):
Li1 0.0000 0.0000 0.0000 x4  6 Ga 2.60-2.62
Li2 0.2500 0.2345 0.2500 x8  5 Ga 2.66-2.86, 2 Li 2.87
Tb1 0.0000 0.1010 0.6002 x8  7 Ga 3.05-3.29, 4 Li 3.21-3.39
Ga1 0.0000 0.1618 0.9918 x8  5 Li 2.60-2.86, 2 Ga 2.84
Ga2 0.2500 0.0690 0.2500 x8  3 Li 2.62-2.66, 4 Ga 2.84-2.87

=====

[11]
This record from the Alexandria database describes LiTb12Ga6 after structural relaxation. The functional is PBE.

## Properties
energy of formation from the pure elements = -3.0 eV/f.u.
magnetic moment = 0.0 μB/cell
total energy = -78.7 eV per formula unit
calculated volume = 1617.0 Å³/cell

Cell: 14.1220 14.1220 9.3622 Å, 90.00 90.00 120.00°
Last column: nearest neighbours and their distance in Å.
Space group R-3 (No. 148, hexagonal axes)
Symmetry-distinct sites (fractional):
Li1 0.0000 0.0000 0.0000 x3  6 Tb 3.28
Tb1 0.0502 0.2480 0.9253 x18  3 Ga 2.91-3.05
Tb2 0.0523 0.1956 0.3095 x18  3 Ga 2.92-3.05
Ga1 0.0644 0.2532 0.6107 x18  6 Tb 2.91-3.05

=====

[12]
This record from the Alexandria database describes Li4TbGa4 after structural relaxation. The functional is PBE.

## Properties
energy of formation from the pure elements = -2.4 eV/f.u.
magnetic moment = 0.0 μB/cell
total energy = -26.8 eV per formula unit
calculated volume = 317.5 Å³/cell

Cell: 5.8666 5.8666 9.2252 Å, 90.00 90.00 90.00°
Last column: nearest neighbours and their distance in Å.
Space group P4_2/nmc (No. 137, origin choice 2)
Symmetry-distinct sites (fractional):
Li1 0.0253 0.2500 0.1718 x8  5 Ga 2.61-2.70, 3 Li 2.64-2.70
Tb1 0.2500 0.7500 0.2500 x2  4 Ga 3.10, 8 Li 3.30
Ga1 0.0269 0.2500 0.4640 x8  5 Li 2.61-2.70, 1 Ga 2.62

=====

What is the magnetic moment in the seventh record?
0.0 μB/cell